A geometry-optimized GaTeAuO structure. Source: OQMD via LeMat-Bulk, functional PBE-GGA.

Computed properties:
Theoretical density (g/cm3): 7.48
Energy relative to the lowest polymorph listed for this composition (eV per atom): 0.000

Cell lengths 4.162, 7.869, 5.562 Å; angles 90.00, 90.00, 90.00 degrees
Positions (direct):
Te: 0.000 0.316 0.632
Au: 0.000 0.685 0.621
O: 0.500 0.911 0.704
O: 0.500 0.089 0.204
Ga: 0.500 0.110 0.535
Au: 0.000 0.315 0.121
Ga: 0.500 0.890 0.035
Te: 0.000 0.684 0.132